# 1
Computed, not measured: a relaxed ZrCO2F crystal at the PBE-GGA level of DFT.

Formation energy from raw total energies ... -792.6 meV/atom
Electronic total energy ... -33.5 eV per formula unit

Lattice parameters (Å, degrees): 4.1551 4.1551 4.1581 90.00 90.00 90.00
Element x y z (fractional)
Zr 0.0000 0.0000 0.0000
C 0.5000 0.5000 0.5000
O 0.0000 0.5000 0.0000
O 0.5000 0.0000 0.0000
F 0.0000 0.0000 0.5000


# 2
Computed, not measured: a relaxed Pr2Cu3Sn4Au crystal at the PBE-GGA level of DFT.

Electronic total energy ... -45.7 eV per formula unit

Lattice parameters (Å, degrees): 4.5271 4.5271 10.8631 90.00 90.00 90.00
Element x y z (fractional)
Pr 0.0000 0.5000 0.2460
Pr 0.5000 0.0000 0.7540
Cu 0.0000 0.0000 0.0000
Cu 0.0000 0.5000 0.6308
Cu 0.5000 0.0000 0.3692
Sn 0.0000 0.0000 0.5000
Sn 0.0000 0.5000 0.8633
Sn 0.5000 0.0000 0.1367
Sn 0.5000 0.5000 0.5000
Au 0.5000 0.5000 0.0000


# 3
Computed, not measured: a relaxed CrGaAgAu crystal at the PBE-GGA level of DFT.

Electronic total energy ... -18.4 eV per formula unit

Lattice parameters (Å, degrees): 4.5659 4.5659 4.5659 60.00 60.00 60.00
Element x y z (fractional)
Cr 0.0000 0.0000 0.0000
Ga 0.2500 0.2500 0.2500
Ag 0.5000 0.5000 0.5000
Au 0.7500 0.7500 0.7500


# 4
Computed, not measured: a relaxed Tl2AgRuI crystal at the PBE-GGA level of DFT.

Formation energy from raw total energies ... 1340.4 meV/atom
Electronic total energy ... -11.7 eV per formula unit

Lattice parameters (Å, degrees): 6.4083 6.4083 5.2685 90.00 90.00 90.00
Element x y z (fractional)
Tl 0.0000 0.5000 0.0000
Tl 0.5000 0.0000 0.0000
Ag 0.0000 0.0000 0.5000
Ru 0.5000 0.5000 0.5000
I 0.0000 0.0000 0.0000


# 5
Computed, not measured: a relaxed AlInAu6 crystal at the PBE-GGA level of DFT.

Electronic total energy ... -27.3 eV per formula unit
Offset from the most stable computed form ... 0.0042 eV per atom

Lattice parameters (Å, degrees): 4.1716 4.1716 8.3360 90.00 90.00 90.00
Element x y z (fractional)
Al 0.0000 0.0000 0.0000
In 0.0000 0.0000 0.5000
Au 0.0000 0.5000 0.2371
Au 0.0000 0.5000 0.7629
Au 0.5000 0.0000 0.2371
Au 0.5000 0.0000 0.7629
Au 0.5000 0.5000 0.0000
Au 0.5000 0.5000 0.5000


# 6
Computed, not measured: a relaxed NiSb2Te crystal at the PBE-GGA level of DFT.

Formation energy from raw total energies ... 85.6 meV/atom
Electronic total energy ... -16.8 eV per formula unit

Lattice parameters (Å, degrees): 6.6751 6.6751 6.6751 150.46 138.02 52.16
Element x y z (fractional)
Ni 0.0000 0.0000 0.0000
Sb 0.1713 0.6713 0.5000
Sb 0.5064 0.5064 0.0000
Te 0.8326 0.3326 0.5000


# 7
Computed, not measured: a relaxed Rb2HgAuI crystal at the PBE-GGA level of DFT.

Formation energy from raw total energies ... -640.4 meV/atom
Electronic total energy ... -10.3 eV per formula unit

Lattice parameters (Å, degrees): 6.5911 6.5911 5.4059 90.00 90.00 90.00
Element x y z (fractional)
Rb 0.0000 0.5000 0.0000
Rb 0.5000 0.0000 0.0000
Hg 0.0000 0.0000 0.5000
Au 0.0000 0.0000 0.0000
I 0.5000 0.5000 0.5000


# 8
Computed, not measured: a relaxed MgTiBe17 crystal at the PBE-GGA level of DFT.

Electronic total energy ... -74.5 eV per formula unit

Lattice parameters (Å, degrees): 5.5978 5.5978 5.5978 82.80 82.80 82.80
Element x y z (fractional)
Mg 0.0000 0.0000 0.0000
Ti 0.3198 0.3198 0.3198
Be 0.0007 0.0007 0.4964
Be 0.0007 0.4964 0.0007
Be 0.1586 0.6481 0.6481
Be 0.3138 0.3138 0.8128
Be 0.3138 0.8128 0.3138
Be 0.3618 0.6548 0.9503
Be 0.3618 0.9503 0.6548
Be 0.4964 0.0007 0.0007
Be 0.5555 0.5555 0.5555
Be 0.6481 0.1586 0.6481
Be 0.6481 0.6481 0.1586
Be 0.6548 0.3618 0.9503
Be 0.6548 0.9503 0.3618
Be 0.7533 0.7533 0.7533
Be 0.8128 0.3138 0.3138
Be 0.9503 0.3618 0.6548
Be 0.9503 0.6548 0.3618


Please write out number 4 again, unchanged.
Computed, not measured: a relaxed Tl2AgRuI crystal at the PBE-GGA level of DFT.

Formation energy from raw total energies ... 1340.4 meV/atom
Electronic total energy ... -11.7 eV per formula unit

Lattice parameters (Å, degrees): 6.4083 6.4083 5.2685 90.00 90.00 90.00
Element x y z (fractional)
Tl 0.0000 0.5000 0.0000
Tl 0.5000 0.0000 0.0000
Ag 0.0000 0.0000 0.5000
Ru 0.5000 0.5000 0.5000
I 0.0000 0.0000 0.0000